Here is a geometry-optimized KTeMo2 structure from Alexandria. Energies are from GGA-PBE.

Formation energy without anion corrections in eV/atom: 1.03
Raw total energy in Ry per atom: -0.4002

Cell lengths 6.8267, 6.8267, 6.8267 Å; angles 90.00, 90.00, 90.00 degrees
Space group F-43m (No. 216)
Unique sites:
K 0.0000 0.0000 0.0000 (multiplicity 4)
Te 0.2500 0.2500 0.2500 (multiplicity 4)
Mo 0.0000 0.0000 0.5000 (multiplicity 4)
Mo 0.2500 0.2500 0.7500 (multiplicity 4)